Density functional theory data (PBE) for a relaxed structure of BaCoRe2.

Lattice parameters (Å, degrees): 6.1350 6.1350 6.1350 144.31 144.31 51.37
Closest atoms and distances in Å follow each position.
Positions (direct):
Re 0.5000 0.5000 0.0000  4 Re 2.66
Re 0.0000 0.0000 0.0000  4 Re 2.66
Co 0.7500 0.2500 0.5000  4 Ba 2.66
Ba 0.2500 0.7500 0.5000  4 Co 2.66

Its relative energy among the computed polymorphs is 1023 meV/atom. The formation energy from the elements comes out at 1520 meV per atom.



Density functional theory data (PBE) for a relaxed structure of SrBiSb.

Lattice parameters (Å, degrees): 6.3026 5.3632 10.1872 113.12 90.00 125.99
Closest atoms and distances in Å follow each position.
Positions (direct):
Bi 0.0572 0.1143 0.3645  1 Sb 2.93
Bi 0.9428 0.8857 0.6355  1 Sb 2.93
Sb 0.8343 0.6686 0.8668  1 Sb 2.84, 1 Bi 2.93
Sb 0.1657 0.3314 0.1332  1 Sb 2.84, 1 Bi 2.93
Sr 0.3888 0.7776 0.7382  4 Bi 3.42-3.49, 3 Sb 3.43-3.53
Sr 0.6112 0.2224 0.2618  4 Bi 3.42-3.49, 3 Sb 3.43-3.53

The calculation puts the uncorrected formation energy at -0.4005 eV per atom. Its relative energy among the computed polymorphs is 234 meV/atom.



Density functional theory data (PBE) for a relaxed structure of Cs2PmTc2N6.

Lattice parameters (Å, degrees): 6.5270 6.5278 7.4417 116.04 90.00 120.00
Closest atoms and distances in Å follow each position.
Positions (direct):
Tc 0.9290 0.8581 0.7866  3 N 1.78
Tc 0.0710 0.1419 0.2134  3 N 1.78
N 0.7538 0.9650 0.7181  1 Tc 1.78
N 0.2112 0.9650 0.7181  1 Tc 1.78
N 0.2464 0.4928 0.2827  1 Tc 1.78
N 0.7536 0.5072 0.7173  1 Tc 1.78
N 0.7888 0.0350 0.2819  1 Tc 1.78
N 0.2462 0.0350 0.2819  1 Tc 1.78
Cs 0.2762 0.5524 0.8283  9 N 3.34-3.56
Cs 0.7238 0.4476 0.1717  9 N 3.34-3.56
Pm 0.5000 0.0000 0.5000  6 N 2.48

The calculation puts the uncorrected formation energy at -0.2008 eV per atom.



Density functional theory data (PBE) for a relaxed structure of TbEuTl2.

Lattice parameters (Å, degrees): 3.8923 3.8923 7.7902 90.00 90.00 90.00
Closest atoms and distances in Å follow each position.
Positions (direct):
Tb 0.5000 0.5000 0.0000  8 Tl 3.30
Tl 0.0000 0.0000 0.7668  4 Tb 3.30, 4 Eu 3.45, 1 Tl 3.63
Tl 0.0000 0.0000 0.2332  4 Tb 3.30, 4 Eu 3.45, 1 Tl 3.63
Eu 0.5000 0.5000 0.5000  8 Tl 3.45

Its relative energy among the computed polymorphs is 0 meV/atom. The formation energy from the elements comes out at -397 meV per atom.



| no. | DOS at the Fermi energy (states/eV/atom) |
| --- | --- |
| 1 | 1.200 |
| 2 | 0.508 |
| 3 | 0.301 |
| 4 | 2.273 |